Entry 1:
## Ti2PdO (PBE-GGA)

Data for a geometry-optimized Ti2PdO structure.

```
4
Lattice="1.416 0.818 7.743 -1.416 0.818 7.743 0.000 -1.635 7.743" Properties=species:S:1:pos:R:3 pbc="T T T"
Ti 0.000 0.000 2.462
Ti 0.000 0.000 20.765
Pd 0.000 0.000 0.000
O 0.000 0.000 11.614
```

Output
E: -30.46 eV per cell

---

Entry 2:
## Ti4Pd2O (PBE-GGA)

Data for a geometry-optimized Ti4Pd2O structure.

```
7
Lattice="-2.028 2.028 6.516 2.028 -2.028 6.516 2.028 2.028 -6.516" Properties=species:S:1:pos:R:3 pbc="T T T"
Ti 2.028 0.000 0.000
Ti 0.000 0.000 2.315
Ti 0.000 2.028 0.000
Ti 0.000 0.000 10.717
Pd 0.000 0.000 4.719
Pd 0.000 0.000 8.313
O 0.000 0.000 0.000
```

Output
E: -53.72 eV per cell

---

Entry 3:
## Ti6Pd3O2 (PBE-GGA)

Data for a geometry-optimized Ti6Pd3O2 structure.

```
11
Lattice="1.468 0.847 20.538 -1.468 0.847 20.538 0.000 -1.695 20.538" Properties=species:S:1:pos:R:3 pbc="T T T"
Ti 0.000 0.000 6.542
Ti 0.000 0.000 11.403
Ti 0.000 0.000 22.714
Ti 0.000 0.000 38.898
Ti 0.000 0.000 50.210
Ti 0.000 0.000 55.070
Pd 0.000 0.000 0.000
Pd 0.000 0.000 16.199
Pd 0.000 0.000 45.414
O 0.000 0.000 28.388
O 0.000 0.000 33.225
```

Output
E: -85.21 eV per cell

---

| no. | volume (Å³/atom) | total moment (Bohr magnetons per cell) |
| --- | --- | --- |
| 1 | 13.45 | 0.00 |
| 2 | 15.31 | 0.00 |
| 3 | 13.93 | 0.18 |